Entry 1:
Al2SbRu | PBE-GGA | relaxed

a = 4.0229 Å, b = 4.0229 Å, c = 8.2647 Å
α = 90.00°, β = 90.00°, γ = 90.00°
Fractional positions:
Al 0.0000 0.5000 0.2500
Al 0.0000 0.5000 0.7500
Al 0.5000 0.0000 0.2500
Al 0.5000 0.0000 0.7500
Sb 0.0000 0.0000 0.0000
Sb 0.5000 0.5000 0.5000
Ru 0.0000 0.0000 0.5000
Ru 0.5000 0.5000 0.0000

Energy relative to the elements, uncorrected ... 0.039 eV/atom
Space-group type ... I4/mmm, No. 139

***

Entry 2:
K2YTlTc | PBE-GGA | relaxed

a = 6.2720 Å, b = 6.2720 Å, c = 5.9369 Å
α = 90.00°, β = 90.00°, γ = 90.00°
Fractional positions:
K 0.0000 0.5000 0.0000
K 0.5000 0.0000 0.0000
Y 0.0000 0.0000 0.5000
Tl 0.0000 0.0000 0.0000
Tc 0.5000 0.5000 0.5000

Energy of formation ... 30.62 kcal/mol of atoms
Space-group type ... P4/mmm, No. 123

***

Entry 3:
Pa2Co3CuP4 | PBE-GGA | relaxed

a = 4.0159 Å, b = 4.0159 Å, c = 8.8938 Å
α = 90.00°, β = 90.00°, γ = 90.00°
Fractional positions:
Pa 0.0000 0.5000 0.2474
Pa 0.5000 0.0000 0.7526
Co 0.0000 0.5000 0.8913
Co 0.5000 0.0000 0.1087
Co 0.5000 0.5000 0.5000
Cu 0.0000 0.0000 0.5000
P 0.0000 0.0000 0.0000
P 0.0000 0.5000 0.6375
P 0.5000 0.0000 0.3625
P 0.5000 0.5000 0.0000

Energy of formation ... -20.71 kcal/mol of atoms
Space-group type ... P-4m2, No. 115

***

Entry 4:
SrTa2Te | PBE-GGA | relaxed

a = 9.1013 Å, b = 3.4556 Å, c = 6.8284 Å
α = 90.00°, β = 99.49°, γ = 90.00°
Fractional positions:
Sr 0.0000 0.0000 0.0000
Sr 0.5000 0.5000 0.0000
Ta 0.2260 0.0000 0.6565
Ta 0.4946 0.0000 0.5197
Ta 0.7260 0.5000 0.6565
Ta 0.9946 0.5000 0.5197
Te 0.2569 0.5000 0.3231
Te 0.7569 0.0000 0.3231

Energy relative to the elements, uncorrected ... 0.282 eV/atom
Space-group type ... Cm, No. 8
Energy relative to the lowest polymorph listed for this composition ... 0.1551 eV per atom

***

Entry 5:
Pr5ThCd6 | PBE-GGA | relaxed

a = 9.4960 Å, b = 9.4960 Å, c = 9.4960 Å
α = 146.48°, β = 131.89°, γ = 59.91°
Fractional positions:
Pr 0.0000 0.0000 0.0000
Pr 0.1670 0.6670 0.5000
Pr 0.3349 0.3349 0.0000
Pr 0.6651 0.6651 0.0000
Pr 0.8330 0.3330 0.5000
Th 0.5000 0.0000 0.5000
Cd 0.0837 0.8336 0.2502
Cd 0.2493 0.5000 0.7493
Cd 0.4166 0.1664 0.2502
Cd 0.5834 0.8336 0.7498
Cd 0.7507 0.5000 0.2507
Cd 0.9163 0.1664 0.7498

Energy of formation ... -6.19 kcal/mol of atoms
Space-group type ... Immm, No. 71

***

Entry 6:
LaPm2SiO8 | PBE-GGA | relaxed

a = 5.1775 Å, b = 5.1775 Å, c = 6.6319 Å
α = 90.00°, β = 90.00°, γ = 120.00°
Fractional positions:
La 0.0000 0.0000 0.0000
Pm 0.3333 0.6667 0.3662
Pm 0.6667 0.3333 0.6338
Si 0.0000 0.0000 0.5000
O 0.1580 0.3161 0.6601
O 0.1580 0.8420 0.6601
O 0.3161 0.1580 0.3399
O 0.3333 0.6667 0.0394
O 0.6667 0.3333 0.9606
O 0.6839 0.8420 0.6601
O 0.8420 0.1580 0.3399
O 0.8420 0.6839 0.3399

Energy relative to the elements, uncorrected ... -2.429 eV/atom
Space-group type ... P-3m1, No. 164

***

Entry 7:
Dy12TmTh3 | PBE-GGA | relaxed

a = 5.0214 Å, b = 5.0214 Å, c = 19.9798 Å
α = 90.00°, β = 90.00°, γ = 90.00°
Fractional positions:
Dy 0.0000 0.0000 0.0000
Dy 0.0000 0.0000 0.2494
Dy 0.0000 0.0000 0.5000
Dy 0.0000 0.0000 0.7506
Dy 0.0000 0.5000 0.1255
Dy 0.0000 0.5000 0.3750
Dy 0.0000 0.5000 0.6250
Dy 0.0000 0.5000 0.8745
Dy 0.5000 0.0000 0.1255
Dy 0.5000 0.0000 0.3750
Dy 0.5000 0.0000 0.6250
Dy 0.5000 0.0000 0.8745
Tm 0.5000 0.5000 0.0000
Th 0.5000 0.5000 0.2505
Th 0.5000 0.5000 0.5000
Th 0.5000 0.5000 0.7495

Energy of formation ... 0.81 kcal/mol of atoms
Space-group type ... P4/mmm, No. 123

***

Entry 8:
Tl5AgSe4 | PBE-GGA | relaxed

a = 9.4797 Å, b = 9.4797 Å, c = 8.0746 Å
α = 104.35°, β = 104.35°, γ = 25.59°
Fractional positions:
Tl 0.0000 0.0000 0.0000
Tl 0.3149 0.3149 0.1717
Tl 0.3347 0.3347 0.7032
Tl 0.6653 0.6653 0.2968
Tl 0.6851 0.6851 0.8283
Ag 0.0000 0.0000 0.5000
Se 0.1475 0.1475 0.5478
Se 0.4839 0.4839 0.2426
Se 0.5161 0.5161 0.7574
Se 0.8525 0.8525 0.4522

Energy relative to the elements, uncorrected ... -0.226 eV/atom
Space-group type ... C2/m, No. 12

***

Entry 9:
PmSmCl6 | PBE-GGA | relaxed

a = 7.4465 Å, b = 7.4465 Å, c = 7.4465 Å
α = 54.99°, β = 54.99°, γ = 54.99°
Fractional positions:
Pm 0.0000 0.0000 0.0000
Sm 0.5000 0.5000 0.5000
Cl 0.1031 0.7490 0.3985
Cl 0.2510 0.6015 0.8969
Cl 0.3985 0.1031 0.7490
Cl 0.6015 0.8969 0.2510
Cl 0.7490 0.3985 0.1031
Cl 0.8969 0.2510 0.6015

Energy relative to the elements, uncorrected ... -2.243 eV/atom
Space-group type ... R-3, No. 148

***

Entry 10:
LaIr | PBE-GGA | relaxed

a = 4.8707 Å, b = 4.8707 Å, c = 5.9509 Å
α = 90.00°, β = 90.00°, γ = 120.00°
Fractional positions:
La 0.3333 0.6667 0.2500
La 0.6667 0.3333 0.7500
Ir 0.3333 0.6667 0.7500
Ir 0.6667 0.3333 0.2500

Energy of formation ... -6.43 kcal/mol of atoms
Space-group type ... P6_3/mmc, No. 194

***

Entry 11:
Y2NiBr | PBE-GGA | relaxed

a = 4.0066 Å, b = 4.0066 Å, c = 11.7816 Å
α = 90.00°, β = 90.00°, γ = 90.00°
Fractional positions:
Y 0.0000 0.0000 0.0000
Y 0.0000 0.5000 0.2500
Y 0.5000 0.0000 0.7500
Y 0.5000 0.5000 0.5000
Ni 0.0000 0.0000 0.5000
Ni 0.5000 0.5000 0.0000
Br 0.0000 0.5000 0.7500
Br 0.5000 0.0000 0.2500

Energy relative to the elements, uncorrected ... -0.322 eV/atom
Space-group type ... I-4m2, No. 119
Energy relative to the lowest polymorph listed for this composition ... 0.4813 eV per atom

***

Entry 12:
ZnTcNi | PBE-GGA | relaxed

a = 2.6755 Å, b = 2.6755 Å, c = 6.4236 Å
α = 90.00°, β = 90.00°, γ = 120.00°
Fractional positions:
Zn 0.0000 0.0000 0.0000
Tc 0.6667 0.3333 0.6384
Ni 0.3333 0.6667 0.3213

Energy of formation ... 0.76 kcal/mol of atoms
Space-group type ... P3m1, No. 156
Energy relative to the lowest polymorph listed for this composition ... 0.0660 eV per atom

***

Entry 13:
Hg2PtCl | PBE-GGA | relaxed

a = 7.2082 Å, b = 7.2347 Å, c = 3.0958 Å
α = 90.00°, β = 90.00°, γ = 90.00°
Fractional positions:
Hg 0.2500 0.2500 0.0000
Hg 0.2500 0.7500 0.0000
Hg 0.7500 0.2500 0.0000
Hg 0.7500 0.7500 0.0000
Pt 0.0000 0.0000 0.5000
Pt 0.5000 0.5000 0.5000
Cl 0.0000 0.5000 0.5000
Cl 0.5000 0.0000 0.5000

Energy relative to the elements, uncorrected ... 0.056 eV/atom
Space-group type ... Cmmm, No. 65
Energy relative to the lowest polymorph listed for this composition ... 0.1141 eV per atom

***

Entry 14:
CdHgIrRh2 | PBE-GGA | relaxed

a = 4.8520 Å, b = 4.8520 Å, c = 4.9823 Å
α = 90.00°, β = 90.00°, γ = 90.00°
Fractional positions:
Cd 0.0000 0.0000 0.0000
Hg 0.0000 0.0000 0.5000
Ir 0.5000 0.5000 0.5000
Rh 0.0000 0.5000 0.0000
Rh 0.5000 0.0000 0.0000

Energy of formation ... 44.38 kcal/mol of atoms
Space-group type ... P4/mmm, No. 123

***

Entry 15:
CuHg7 | PBE-GGA | relaxed

a = 6.4436 Å, b = 6.4436 Å, c = 6.4436 Å
α = 60.00°, β = 60.00°, γ = 60.00°
Fractional positions:
Cu 0.0000 0.0000 0.0000
Hg 0.0000 0.0000 0.5000
Hg 0.0000 0.5000 0.0000
Hg 0.0000 0.5000 0.5000
Hg 0.5000 0.0000 0.0000
Hg 0.5000 0.0000 0.5000
Hg 0.5000 0.5000 0.0000
Hg 0.5000 0.5000 0.5000

Energy of formation ... 4.59 kcal/mol of atoms
Space-group type ... Fm-3m, No. 225

***

Entry 16:
RbGeP | PBE-GGA | relaxed

a = 5.0973 Å, b = 6.1185 Å, c = 7.2982 Å
α = 102.87°, β = 98.13°, γ = 104.14°
Fractional positions:
Rb 0.2483 0.3510 0.2225
Rb 0.7517 0.6490 0.7775
Ge 0.2664 0.9315 0.5420
Ge 0.7336 0.0685 0.4580
P 0.1102 0.2221 0.7189
P 0.8898 0.7779 0.2811

Energy of formation ... -5.76 kcal/mol of atoms
Space-group type ... P-1, No. 2

***

Entry 17:
LiLaTe | PBE-GGA | relaxed

a = 3.8879 Å, b = 3.8879 Å, c = 10.8668 Å
α = 90.00°, β = 90.00°, γ = 90.00°
Fractional positions:
Li 0.0000 0.0000 0.0000
Li 0.5000 0.5000 0.5000
La 0.0000 0.0000 0.2915
La 0.5000 0.5000 0.7915
Te 0.0000 0.0000 0.6033
Te 0.5000 0.5000 0.1033

Energy relative to the elements, uncorrected ... -0.772 eV/atom
Space-group type ... I4mm, No. 107
Energy relative to the lowest polymorph listed for this composition ... 0.2722 eV per atom

***

Entry 18:
Ho7Tm12Al | PBE-GGA | relaxed

a = 8.5137 Å, b = 8.5137 Å, c = 8.5137 Å
α = 87.30°, β = 87.30°, γ = 87.30°
Fractional positions:
Ho 0.0000 0.0000 0.0000
Ho 0.1086 0.4277 0.3544
Ho 0.3544 0.1086 0.4277
Ho 0.4277 0.3544 0.1086
Ho 0.5723 0.6456 0.8914
Ho 0.6456 0.8914 0.5723
Ho 0.8914 0.5723 0.6456
Tm 0.0018 0.1150 0.6405
Tm 0.1150 0.6405 0.0018
Tm 0.2473 0.3649 0.7458
Tm 0.2542 0.7527 0.6351
Tm 0.3595 0.9982 0.8850
Tm 0.3649 0.7458 0.2473
Tm 0.6351 0.2542 0.7527
Tm 0.6405 0.0018 0.1150
Tm 0.7458 0.2473 0.3649
Tm 0.7527 0.6351 0.2542
Tm 0.8850 0.3595 0.9982
Tm 0.9982 0.8850 0.3595
Al 0.5000 0.5000 0.5000

Energy of formation ... 4.45 kcal/mol of atoms
Space-group type ... R-3, No. 148

***

Entry 19:
Zr2CuGe2 | PBE-GGA | relaxed

a = 7.1839 Å, b = 7.1839 Å, c = 3.8149 Å
α = 90.00°, β = 90.00°, γ = 90.00°
Fractional positions:
Zr 0.1761 0.3239 0.0000
Zr 0.3239 0.8239 0.0000
Zr 0.6761 0.1761 0.0000
Zr 0.8239 0.6761 0.0000
Cu 0.0000 0.0000 0.0000
Cu 0.5000 0.5000 0.0000
Ge 0.1261 0.6261 0.5000
Ge 0.3739 0.1261 0.5000
Ge 0.6261 0.8739 0.5000
Ge 0.8739 0.3739 0.5000

Energy of formation ... -5.66 kcal/mol of atoms
Space-group type ... P4/mbm, No. 127

***

Entry 20:
Pm2PuScTe4 | PBE-GGA | relaxed

a = 7.5790 Å, b = 4.3519 Å, c = 7.6427 Å
α = 90.00°, β = 109.01°, γ = 90.00°
Fractional positions:
Pm 0.0000 0.0000 0.0000
Pm 0.5000 0.5000 0.0000
Pu 0.0000 0.5000 0.5000
Sc 0.5000 0.0000 0.5000
Te 0.2547 0.0000 0.7397
Te 0.2637 0.5000 0.2665
Te 0.7363 0.5000 0.7335
Te 0.7453 0.0000 0.2603

Energy relative to the elements, uncorrected ... -1.252 eV/atom
Space-group type ... P2/m, No. 10

***

In g/cm3, the ρ values for the records above are, in order, 6.87, 3.34, 9.57, 9.05, 7.67, 6.31, 9.28, 7.92, 3.27, 8.99, 5.56, 9.26, 13.00, 10.07, 12.88, 2.98, 5.53, 8.66, 6.60, 7.59.